A geometry-optimized Zr4ZnIn structure, computed with GGA-PBE.

abc: 3.9210 5.6212 7.3089
angles: 108.62 74.44 69.59
Last column: nearest neighbours and their distance in Å.
Sites, in units of the cell vectors:
Zr: 0.8168 0.5251 0.8412  2 Zn 2.97, 2 In 3.06, 6 Zr 3.07-3.23
Zr: 0.3426 0.9932 0.3216  2 Zn 3.01, 3 In 3.08-3.36, 6 Zr 3.12-3.23
Zr: 0.1832 0.4749 0.1588  2 Zn 2.97, 2 In 3.06, 6 Zr 3.07-3.23
Zr: 0.6574 0.0068 0.6784  2 Zn 3.01, 3 In 3.08-3.36, 6 Zr 3.12-3.23
Zn: 0.0000 0.0000 0.0000  8 Zr 2.97-3.01, 2 In 3.29
In: 0.5000 0.5000 0.5000  10 Zr 3.06-3.36, 2 Zn 3.29

Computed properties:
SG ... No. 12
Excess energy over the best structure of this formula in the dataset ... 0 meV/atom
Electronic total energy ... -6.549 eV per atom

A geometry-optimized Zr2Zn3In3 structure, computed with GGA-PBE.

abc: 4.2607 4.2874 8.5438
angles: 90.00 90.00 90.00
Last column: nearest neighbours and their distance in Å.
Sites, in units of the cell vectors:
Zr: 0.0000 0.0000 0.7546  6 Zn 2.99-3.02, 6 In 3.00-3.05
Zr: 0.0000 0.0000 0.2454  6 Zn 2.99-3.02, 6 In 3.00-3.05
Zn: 0.5000 0.5000 0.7635  6 In 2.94-3.11, 2 Zn 2.95, 4 Zr 3.02
Zn: 0.5000 0.5000 0.2365  6 In 2.94-3.11, 2 Zn 2.95, 4 Zr 3.02
Zn: 0.5000 0.0000 0.0000  4 Zn 2.95, 4 Zr 2.99, 4 In 3.02
In: 0.5000 0.0000 0.5000  4 In 3.02, 4 Zr 3.04, 4 Zn 3.11
In: 0.0000 0.5000 0.0000  8 Zn 2.94-3.02, 4 Zr 3.00
In: 0.0000 0.5000 0.5000  4 In 3.02, 4 Zr 3.05, 4 Zn 3.10

Computed properties:
SG ... No. 47
Electronic total energy ... -3.922 eV per atom

A geometry-optimized Zr2ZnIn2 structure, computed with GGA-PBE.

abc: 7.0442 7.0442 4.4095
angles: 90.00 90.00 90.00
Last column: nearest neighbours and their distance in Å.
Sites, in units of the cell vectors:
Zn: 0.0000 0.0000 0.0000  4 In 2.72
Zn: 0.5000 0.5000 0.0000  4 In 2.72
Zr: 0.1678 0.6678 0.5000  6 In 2.92-3.10
Zr: 0.6678 0.8322 0.5000  6 In 2.92-3.10
Zr: 0.8322 0.3322 0.5000  6 In 2.92-3.10
Zr: 0.3322 0.1678 0.5000  6 In 2.92-3.10
In: 0.3605 0.8605 0.0000  2 Zn 2.72, 1 In 2.78, 2 Zr 2.92
In: 0.8605 0.6395 0.0000  2 Zn 2.72, 1 In 2.78, 2 Zr 2.92
In: 0.6395 0.1395 0.0000  2 Zn 2.72, 1 In 2.78, 2 Zr 2.92
In: 0.1395 0.3605 0.0000  2 Zn 2.72, 1 In 2.78, 2 Zr 2.92

Computed properties:
SG ... No. 127
Excess energy over the best structure of this formula in the dataset ... 0 meV/atom
Electronic total energy ... -4.872 eV per atom

A geometry-optimized Zr2Zn3In2 structure, computed with GGA-PBE.

abc: 7.2175 7.2175 7.2175
angles: 109.47 109.47 109.47
Last column: nearest neighbours and their distance in Å.
Sites, in units of the cell vectors:
Zr: 0.0000 0.0000 0.4774  6 Zn 2.82-2.95, 1 In 2.86
Zr: 0.5000 0.4774 0.5000  6 Zn 2.82-2.95, 1 In 2.86
Zr: 0.5226 0.0226 0.0226  6 Zn 2.82-2.95, 1 In 2.86
Zr: 0.9774 0.5000 0.0000  6 Zn 2.82-2.95, 1 In 2.86
Zn: 0.7491 0.7500 0.9991  2 In 2.71, 4 Zr 2.82-2.95, 4 Zn 2.95
Zn: 0.7509 0.2500 0.5009  2 In 2.71, 4 Zr 2.82-2.95, 4 Zn 2.95
Zn: 0.0009 0.2509 0.2500  2 In 2.71, 4 Zr 2.82-2.95, 4 Zn 2.95
Zn: 0.4991 0.2491 0.7500  2 In 2.71, 4 Zr 2.82-2.95, 4 Zn 2.95
Zn: 0.2500 0.9991 0.2491  2 In 2.71, 4 Zr 2.82-2.95, 4 Zn 2.95
Zn: 0.7500 0.5009 0.2509  2 In 2.71, 4 Zr 2.82-2.95, 4 Zn 2.95
In: 0.0000 0.0000 0.8741  3 Zn 2.71, 1 Zr 2.86
In: 0.5000 0.8741 0.5000  3 Zn 2.71, 1 Zr 2.86
In: 0.1259 0.6259 0.6259  3 Zn 2.71, 1 Zr 2.86
In: 0.3741 0.5000 0.0000  3 Zn 2.71, 1 Zr 2.86

Computed properties:
SG ... No. 199
Electronic total energy ... -3.727 eV per atom

A geometry-optimized Zr6ZnIn3 structure, computed with GGA-PBE.

abc: 5.4054 8.7850 9.7317
angles: 90.00 89.96 90.00
Last column: nearest neighbours and their distance in Å.
Sites, in units of the cell vectors:
Zr: 0.5841 0.1707 0.9574  1 Zn 2.73, 1 In 2.96, 2 Zr 3.02-3.03
Zr: 0.5704 0.1946 0.5520  1 Zn 2.76, 1 In 2.93, 2 Zr 3.03-3.08
Zr: 0.6624 0.3838 0.2608  1 Zn 2.69, 1 In 2.87
Zr: 0.3376 0.6162 0.7392  1 Zn 2.69, 1 In 2.87
Zr: 0.4296 0.8054 0.4480  1 Zn 2.76, 1 In 2.93, 2 Zr 3.03-3.08
Zr: 0.4159 0.8293 0.0426  1 Zn 2.73, 1 In 2.96, 2 Zr 3.02-3.03
Zr: 0.0841 0.3293 0.4574  1 Zn 2.73, 1 In 2.96, 2 Zr 3.02-3.03
Zr: 0.0704 0.3054 0.0520  1 Zn 2.76, 1 In 2.93, 2 Zr 3.03-3.08
Zr: 0.1624 0.1162 0.7608  1 Zn 2.69, 1 In 2.87
Zr: 0.8376 0.8838 0.2392  1 Zn 2.69, 1 In 2.87
Zr: 0.9296 0.6946 0.9480  1 Zn 2.76, 1 In 2.93, 2 Zr 3.03-3.08
Zr: 0.9159 0.6707 0.5426  1 Zn 2.73, 1 In 2.96, 2 Zr 3.02-3.03
Zn: 0.5000 0.5000 0.5000  6 Zr 2.69-2.76
Zn: 0.0000 0.0000 0.0000  6 Zr 2.69-2.76
In: 0.6420 0.9091 0.7438  9 Zr 3.05-3.35, 1 In 3.16, 1 Zn 3.26
In: 0.5000 0.5000 0.0000  6 Zr 2.87-2.96, 2 In 3.16
In: 0.3580 0.0909 0.2562  9 Zr 3.05-3.35, 1 In 3.16, 1 Zn 3.26
In: 0.1420 0.5909 0.2438  9 Zr 3.05-3.35, 1 In 3.16, 1 Zn 3.26
In: 0.0000 0.0000 0.5000  6 Zr 2.87-2.96, 2 In 3.16
In: 0.8580 0.4091 0.7562  9 Zr 3.05-3.35, 1 In 3.16, 1 Zn 3.26

Computed properties:
SG ... No. 14
Electronic total energy ... -6.105 eV per atom

A geometry-optimized Zr3ZnIn structure, computed with GGA-PBE.

abc: 4.9509 5.7268 8.1785
angles: 113.97 90.00 90.00
Last column: nearest neighbours and their distance in Å.
Sites, in units of the cell vectors:
Zr: 0.5154 0.5563 0.7047  1 Zn 2.83, 3 In 3.05-3.11, 2 Zr 3.12
Zr: 0.5154 0.8798 0.4560  3 Zn 2.83-3.08, 2 In 3.05, 1 Zr 3.13
Zr: 0.0154 0.2112 0.6787  1 Zn 2.83, 3 In 3.05-3.11, 2 Zr 3.12
Zr: 0.0154 0.4849 0.1020  3 Zn 2.88-2.92, 3 In 3.05-3.16, 3 Zr 3.13-3.17
Zr: 0.0154 0.8876 0.9274  3 Zn 2.83-3.08, 2 In 3.05, 1 Zr 3.13
Zr: 0.5154 0.2826 0.2814  3 Zn 2.88-2.92, 3 In 3.05-3.16, 3 Zr 3.13-3.17
Zn: 0.5154 0.7282 0.0811  7 Zr 2.83-3.08, 1 In 2.94, 2 Zn 3.16
Zn: 0.0155 0.0393 0.3023  7 Zr 2.83-3.08, 1 In 2.94, 2 Zn 3.16
In: 0.0154 0.5986 0.5001  1 Zn 2.94, 10 Zr 3.05-3.21
In: 0.5154 0.1689 0.8832  1 Zn 2.94, 10 Zr 3.05-3.21

Computed properties:
SG ... No. 11
Excess energy over the best structure of this formula in the dataset ... 0 meV/atom
Electronic total energy ... -6.139 eV per atom

A geometry-optimized Zr4ZnIn structure, computed with GGA-PBE.

abc: 5.7675 5.7675 5.7675
angles: 60.00 60.00 60.00
Last column: nearest neighbours and their distance in Å.
Sites, in units of the cell vectors:
Zr: 0.8749 0.3750 0.3750  6 Zr 2.88
Zr: 0.3750 0.3750 0.8749  6 Zr 2.88
Zr: 0.3750 0.8749 0.3750  6 Zr 2.88
Zr: 0.3750 0.3750 0.3750  6 Zr 2.88
Zn: 0.0000 0.0000 0.0000  12 Zr 3.38, 4 In 3.53
In: 0.7500 0.7500 0.7500  12 Zr 3.38, 4 Zn 3.53

Computed properties:
SG ... No. 216
Excess energy over the best structure of this formula in the dataset ... 443 meV/atom
Electronic total energy ... -6.105 eV per atom

A geometry-optimized Zr2ZnIn2 structure, computed with GGA-PBE.

abc: 7.2340 7.2340 4.4375
angles: 90.00 90.00 90.00
Last column: nearest neighbours and their distance in Å.
Sites, in units of the cell vectors:
Zn: 0.0000 0.0000 0.0000  4 Zr 2.75
Zn: 0.5000 0.5000 0.0000  4 Zr 2.75
Zr: 0.3480 0.8480 0.0000  2 Zn 2.75, 2 In 2.98
Zr: 0.8480 0.6520 0.0000  2 Zn 2.75, 2 In 2.98
Zr: 0.6520 0.1520 0.0000  2 Zn 2.75, 2 In 2.98
Zr: 0.1520 0.3480 0.0000  2 Zn 2.75, 2 In 2.98
In: 0.1541 0.6541 0.5000  6 Zr 2.98-3.13, 1 In 3.15
In: 0.6541 0.8459 0.5000  6 Zr 2.98-3.13, 1 In 3.15
In: 0.8459 0.3459 0.5000  6 Zr 2.98-3.13, 1 In 3.15
In: 0.3459 0.1541 0.5000  6 Zr 2.98-3.13, 1 In 3.15

Computed properties:
SG ... No. 127
Excess energy over the best structure of this formula in the dataset ... 71 meV/atom
Electronic total energy ... -4.801 eV per atom